# SCAN Li3ZnSb, single point on PBEsol structure
# **Energy**: -11.73 eV/atom
# **ΔE_f (raw)**: -144 meV/atom
data_Li3ZnSb
_symmetry_space_group_name_H-M 'P m -3 m'
_symmetry_Int_Tables_number 221
_symmetry_space_group_name_Hall '-P 4 2 3'
_cell_length_a 5.1911
_cell_length_b 5.1911
_cell_length_c 5.1911
_cell_angle_alpha 90.00
_cell_angle_beta 90.00
_cell_angle_gamma 90.00
loop_
_atom_site_label
_atom_site_type_symbol
_atom_site_fract_x
_atom_site_fract_y
_atom_site_fract_z
Li1 Li 0.0000 0.0000 0.5000
Zn1 Zn 0.5000 0.5000 0.5000
Sb1 Sb 0.0000 0.0000 0.0000